[1]
Below is a relaxed HfTeOs3 crystal, with properties calculated at the GGA-PBE level.

Cell lengths 4.7515, 4.7515, 4.7515 Å; angles 90.00, 90.00, 90.00 degrees
With the nearest neighbours (Å) after each atom.
Space group Pm-3m (No. 221)
One atom of each set of equivalent atoms:
Hf (0.0000, 0.0000, 0.0000) x1  12 Os 3.36
Te (0.5000, 0.5000, 0.5000) x1  6 Os 2.38
Os (0.0000, 0.5000, 0.5000) x3  2 Te 2.38

Results
Excess energy over the best structure of this formula in the dataset: 0.0000 eV/atom
Formation energy from raw total energies: 1.900 eV per atom

[2]
Below is a relaxed HfTeOs3 crystal, with properties calculated at the GGA-PBE level.

Cell lengths 4.8332, 4.8332, 4.8332 Å; angles 90.00, 90.00, 90.00 degrees
With the nearest neighbours (Å) after each atom.
Space group Pm-3m (No. 221)
One atom of each set of equivalent atoms:
Hf (0.0000, 0.0000, 0.0000) x1  6 Os 2.42
Te (0.5000, 0.5000, 0.5000) x1  12 Os 3.42
Os (0.0000, 0.0000, 0.5000) x3  2 Hf 2.42

Results
Excess energy over the best structure of this formula in the dataset: 0.3418 eV/atom
Formation energy from raw total energies: 2.242 eV per atom

[3]
Below is a relaxed HfThOs2 crystal, with properties calculated at the GGA-PBE level.

Cell lengths 3.2995, 3.2995, 7.2277 Å; angles 90.00, 90.00, 90.00 degrees
With the nearest neighbours (Å) after each atom.
Space group P4/mmm (No. 123)
One atom of each set of equivalent atoms:
Hf (0.0000, 0.0000, 0.0000) x1  8 Os 2.82
Th (0.0000, 0.0000, 0.5000) x1  8 Os 3.10, 4 Th 3.30
Os (0.5000, 0.5000, 0.2186) x2  4 Hf 2.82, 4 Th 3.10

Results
Formation energy from the elements: -0.333 eV/atom

[4]
Below is a relaxed HfThOs crystal, with properties calculated at the GGA-PBE level.

Cell lengths 4.2128, 12.9777, 7.5099 Å; angles 90.00, 90.00, 90.00 degrees
With the nearest neighbours (Å) after each atom.
Space group Amm2 (No. 38)
One atom of each set of equivalent atoms:
Hf (0.0000, 0.0000, 0.0000) x2  4 Os 2.76-2.92
Hf (0.0000, 0.1190, 0.3595) x4  4 Os 2.77-2.93, 1 Hf 3.09
Th (0.5000, 0.0000, 0.6688) x2  5 Os 3.07-3.24, 2 Hf 3.26
Th (0.5000, 0.2148, 0.0252) x4  5 Os 3.06-3.21, 2 Hf 3.26
Os (0.0000, 0.1673, 0.7406) x4  3 Hf 2.91-2.93, 6 Th 3.06-3.07
Os (0.5000, 0.0000, 0.2371) x2  6 Hf 2.76-2.77

Results
Formation energy from the elements: -0.337 eV/atom

[5]
Below is a relaxed Hf2ThOs crystal, with properties calculated at the GGA-PBE level.

Cell lengths 3.3027, 3.3027, 8.0686 Å; angles 90.00, 90.00, 90.00 degrees
With the nearest neighbours (Å) after each atom.
Space group P4/mmm (No. 123)
One atom of each set of equivalent atoms:
Hf (0.0000, 0.0000, 0.1950) x2  4 Os 2.82, 1 Hf 3.15
Th (0.5000, 0.5000, 0.5000) x1  4 Th 3.30, 8 Hf 3.39
Os (0.5000, 0.5000, 0.0000) x1  8 Hf 2.82

Results
Excess energy over the best structure of this formula in the dataset: 0.0000 eV/atom
Formation energy from the elements: -0.244 eV/atom

[6]
Below is a relaxed Hf2ThOs crystal, with properties calculated at the GGA-PBE level.

Cell lengths 4.3526, 4.3526, 18.2615 Å; angles 90.00, 90.00, 120.00 degrees
With the nearest neighbours (Å) after each atom.
Space group R-3m (No. 166, hexagonal axes)
One atom of each set of equivalent atoms:
Hf (0.0000, 0.0000, 0.2156) x6  3 Os 2.67
Th (0.0000, 0.0000, 0.0000) x3  6 Hf 3.31
Os (0.0000, 0.0000, 0.5000) x3  6 Hf 2.67

Results
Excess energy over the best structure of this formula in the dataset: 0.3066 eV/atom
Formation energy from the elements: 0.063 eV/atom

| no. | VASP energy (eV for the cell shown) | total magnetization (μB per formula unit) |
| --- | --- | --- |
| 1 | -37.3 | 0.0 |
| 2 | -35.6 | 0.0 |
| 3 | -41.2 | 0.0 |
| 4 | -177.7 | 0.0 |
| 5 | -39.5 | 0.0 |
| 6 | -114.9 | 0.0 |